# 1
VASP calculation (PBE) on ZrCuAg2 after structural relaxation.

Results
- calculated formation energy (eV/atom) = 0.070
- E (eV per atom) = -4.5171
- energy above the most stable polymorph in this dataset (eV/atom) = 0.078

Geometry as CIF:
```
data_ZrCuAg2
_chemical_formula_sum 'Zr4 Cu4 Ag8'
_cell_length_a 6.570
_cell_length_b 6.570
_cell_length_c 6.570
_cell_angle_alpha 90.00
_cell_angle_beta 90.00
_cell_angle_gamma 90.00
_space_group_name_H-M_alt 'F m -3 m'
_space_group_IT_number 225
_space_group_name_Hall '-F 4 2 3'
loop_
_atom_site_label
_atom_site_type_symbol
_atom_site_fract_x
_atom_site_fract_y
_atom_site_fract_z
_atom_site_occupancy
Zr1 Zr 0.000 0.000 0.000 1
Cu1 Cu 0.000 0.000 0.500 1
Ag1 Ag 0.250 0.250 0.250 1
```

# 2
VASP calculation (PBE) on ZrCuAg2 after structural relaxation.

Results
- calculated formation energy (eV/atom) = 0.044
- E (eV per atom) = -4.5422
- energy above the most stable polymorph in this dataset (eV/atom) = 0.053

Geometry as CIF:
```
data_ZrCuAg2
_chemical_formula_sum 'Zr1 Cu1 Ag2'
_cell_length_a 2.858
_cell_length_b 4.331
_cell_length_c 5.939
_cell_angle_alpha 90.00
_cell_angle_beta 103.26
_cell_angle_gamma 90.00
_space_group_name_H-M_alt 'P 1 m 1'
_space_group_IT_number 6
loop_
_space_group_symop_operation_xyz
'x,y,z'
'x,-y,z'
loop_
_atom_site_label
_atom_site_type_symbol
_atom_site_fract_x
_atom_site_fract_y
_atom_site_fract_z
_atom_site_occupancy
Zr1 Zr 0.000 0.000 0.000 1
Cu1 Cu 0.403 0.500 0.789 1
Ag1 Ag 0.256 0.000 0.526 1
Ag2 Ag 0.642 0.500 0.292 1
```

# 3
VASP calculation (PBE) on Zr2CuAg after structural relaxation.

Results
- calculated formation energy (eV/atom) = 0.241
- E (eV per atom) = -5.7697
- energy above the most stable polymorph in this dataset (eV/atom) = 0.348

Geometry as CIF:
```
data_Zr2CuAg
_chemical_formula_sum 'Zr8 Cu4 Ag4'
_cell_length_a 6.728
_cell_length_b 6.728
_cell_length_c 6.728
_cell_angle_alpha 90.00
_cell_angle_beta 90.00
_cell_angle_gamma 90.00
_space_group_name_H-M_alt 'F -4 3 m'
_space_group_IT_number 216
_space_group_name_Hall 'F -4 2 3'
loop_
_atom_site_label
_atom_site_type_symbol
_atom_site_fract_x
_atom_site_fract_y
_atom_site_fract_z
_atom_site_occupancy
Zr1 Zr 0.000 0.000 0.000 1
Zr2 Zr 0.250 0.250 0.250 1
Cu1 Cu 0.000 0.000 0.500 1
Ag1 Ag 0.250 0.250 0.750 1
```

# 4
VASP calculation (PBE) on ZrCuAg2 after structural relaxation.

Results
- calculated formation energy (eV/atom) = 0.194
- E (eV per atom) = -4.3923
- energy above the most stable polymorph in this dataset (eV/atom) = 0.203

Geometry as CIF:
```
data_ZrCuAg2
_chemical_formula_sum 'Zr2 Cu2 Ag4'
_cell_length_a 6.017
_cell_length_b 8.394
_cell_length_c 2.862
_cell_angle_alpha 90.00
_cell_angle_beta 90.00
_cell_angle_gamma 90.00
_space_group_name_H-M_alt 'C m m m'
_space_group_IT_number 65
_space_group_name_Hall '-C 2 2'
loop_
_atom_site_label
_atom_site_type_symbol
_atom_site_fract_x
_atom_site_fract_y
_atom_site_fract_z
_atom_site_occupancy
Zr1 Zr 0.000 0.000 0.000 1
Cu1 Cu 0.000 0.500 0.000 1
Ag1 Ag 0.250 0.250 0.500 1
```

# 5
VASP calculation (PBE) on ZrCu2Ag2 after structural relaxation.

Results
- calculated formation energy (eV/atom) = 0.211
- E (eV per atom) = -4.2776
- energy above the most stable polymorph in this dataset (eV/atom) = 0.120

Geometry as CIF:
```
data_ZrCu2Ag2
_chemical_formula_sum 'Zr2 Cu4 Ag4'
_cell_length_a 3.620
_cell_length_b 3.620
_cell_length_c 13.416
_cell_angle_alpha 90.00
_cell_angle_beta 90.00
_cell_angle_gamma 90.00
_space_group_name_H-M_alt 'I 4/m m m'
_space_group_IT_number 139
_space_group_name_Hall '-I 4 2'
loop_
_atom_site_label
_atom_site_type_symbol
_atom_site_fract_x
_atom_site_fract_y
_atom_site_fract_z
_atom_site_occupancy
Zr1 Zr 0.000 0.000 0.000 1
Cu1 Cu 0.000 0.500 0.250 1
Ag1 Ag 0.000 0.000 0.393 1
```

# 6
VASP calculation (PBE) on ZrCu2Ag2 after structural relaxation.

Results
- calculated formation energy (eV/atom) = 0.091
- E (eV per atom) = -4.3976
- energy above the most stable polymorph in this dataset (eV/atom) = 0.000

Geometry as CIF:
```
data_ZrCu2Ag2
_chemical_formula_sum 'Zr2 Cu4 Ag4'
_cell_length_a 7.462
_cell_length_b 7.462
_cell_length_c 2.975
_cell_angle_alpha 90.00
_cell_angle_beta 90.00
_cell_angle_gamma 90.00
_space_group_name_H-M_alt 'P 4/m b m'
_space_group_IT_number 127
_space_group_name_Hall '-P 4 2ab'
loop_
_atom_site_label
_atom_site_type_symbol
_atom_site_fract_x
_atom_site_fract_y
_atom_site_fract_z
_atom_site_occupancy
Zr1 Zr 0.000 0.000 0.000 1
Cu1 Cu 0.119 0.381 0.000 1
Ag1 Ag 0.177 0.677 0.500 1
```